The following is a DFT calculation (PBE-GGA) of an optimized crystal structure of OsIN2O.

Cell: 4.1629 4.1629 3.9594 Å, 90.00 90.00 90.00°
Closest atoms and distances in Å follow each position.
Space group P4/mmm (No. 123)
Symmetry-distinct sites (fractional):
Os 0.0000 0.0000 0.0000  8 N 2.87, 4 O 2.94
I 0.5000 0.5000 0.5000  2 O 1.98, 4 N 2.08
N 0.0000 0.5000 0.5000  2 I 2.08
O 0.5000 0.5000 0.0000  2 I 1.98

Calculated values
- ΔE_f (raw) (meV/atom) = 2442